Record 1
FeSi3Os | GGA-PBE | optimized geometry

Symmetry ... Pm-3m
Crystal system ... cubic
Uncorrected formation energy ... 854 meV per atom
DFT total energy ... -31.69 eV/cell

Cell: 4.221 4.221 4.221 Å, 90.00 90.00 90.00°
Sites, in units of the cell vectors:
Fe1 0.000 0.000 0.000
Si1 0.000 0.000 0.500
Si2 0.000 0.500 0.000
Si3 0.500 0.000 0.000
Os1 0.500 0.500 0.500

Record 2
Fe2SiOs | GGA-PBE | optimized geometry

Symmetry ... P4/mmm
Crystal system ... tetragonal
Uncorrected formation energy ... -188 meV per atom
DFT total energy ... -34.33 eV/cell

Cell: 2.675 2.675 6.388 Å, 90.00 90.00 90.00°
Sites, in units of the cell vectors:
Fe1 0.000 0.000 0.219
Fe2 0.000 0.000 0.781
Si1 0.500 0.500 0.000
Os1 0.500 0.500 0.500

Record 3
Fe2SiOs | GGA-PBE | optimized geometry

Symmetry ... Pmmm
Crystal system ... orthorhombic
Uncorrected formation energy ... -155 meV per atom
DFT total energy ... -34.20 eV/cell

Cell: 2.928 4.014 4.142 Å, 90.00 90.00 90.00°
Sites, in units of the cell vectors:
Fe1 0.000 0.000 0.000
Fe2 0.500 0.500 0.000
Si1 0.000 0.500 0.500
Os1 0.500 0.000 0.500

Record 4
Fe2SiOs | GGA-PBE | optimized geometry

Symmetry ... I4/mmm
Crystal system ... tetragonal
Uncorrected formation energy ... -64 meV per atom
DFT total energy ... -33.84 eV/cell

Cell: 4.454 4.454 4.454 Å, 132.32 132.32 69.73°
Sites, in units of the cell vectors:
Fe1 0.250 0.750 0.500
Fe2 0.750 0.250 0.500
Si1 0.000 0.000 0.000
Os1 0.500 0.500 0.000

Record 5
FeSi2Os2 | GGA-PBE | optimized geometry

Symmetry ... P4/mbm
Crystal system ... tetragonal
Uncorrected formation energy ... -40 meV per atom
DFT total energy ... -83.94 eV/cell

Cell: 6.962 6.962 2.875 Å, 90.00 90.00 90.00°
Sites, in units of the cell vectors:
Fe1 0.000 0.000 0.000
Fe2 0.500 0.500 0.000
Si1 0.152 0.348 0.500
Si2 0.348 0.848 0.500
Si3 0.652 0.152 0.500
Si4 0.848 0.652 0.500
Os1 0.146 0.646 0.000
Os2 0.354 0.146 0.000
Os3 0.646 0.854 0.000
Os4 0.854 0.354 0.000

Record 6
SmFeSi2Os | GGA-PBE | optimized geometry

Symmetry ... I-4m2
Crystal system ... tetragonal
Uncorrected formation energy ... -670 meV per atom
DFT total energy ... -38.61 eV/cell

Cell: 5.740 5.740 5.740 Å, 138.51 138.51 60.12°
Sites, in units of the cell vectors:
Sm1 0.000 0.000 0.000
Fe1 0.750 0.250 0.500
Si1 0.371 0.371 0.000
Si2 0.629 0.629 0.000
Os1 0.250 0.750 0.500

Repeat the second record exactly.
Fe2SiOs | GGA-PBE | optimized geometry

Symmetry ... P4/mmm
Crystal system ... tetragonal
Uncorrected formation energy ... -188 meV per atom
DFT total energy ... -34.33 eV/cell

Cell: 2.675 2.675 6.388 Å, 90.00 90.00 90.00°
Sites, in units of the cell vectors:
Fe1 0.000 0.000 0.219
Fe2 0.000 0.000 0.781
Si1 0.500 0.500 0.000
Os1 0.500 0.500 0.500

Q: Number 2 is which compound?
A: Fe2SiOs